No. 1
{"formula": "BeTlGe2", "functional": "PBE-GGA", "state": "optimized geometry", "cell": [[-2.4973, 2.4973, 7.1917], [2.4973, -2.4973, 7.1917], [2.4973, 2.4973, -7.1917]], "species": ["Be", "Be", "Tl", "Tl", "Ge", "Ge", "Ge", "Ge"], "frac_coords": [[0.0000, 0.0000, 0.0000], [0.7500, 0.2500, 0.5000], [0.2500, 0.7500, 0.5000], [0.5000, 0.5000, 0.0000], [0.9997, 0.6250, 0.8747], [0.3750, 0.2497, 0.3747], [0.7503, 0.1250, 0.1253], [0.8750, 0.0003, 0.6253]], "e_tot_ev_per_atom": -3.4695, "relative_energy_mev_per_atom": 0, "formation_energy_ev_per_fu": 1.4}

No. 2
{"formula": "Be3TlGe", "functional": "PBE-GGA", "state": "optimized geometry", "cell": [[4.5650, 0.0000, 0.0000], [0.0000, 4.5650, 0.0000], [0.0000, 0.0000, 4.5650]], "species": ["Be", "Be", "Be", "Tl", "Ge"], "frac_coords": [[0.0000, 0.0000, 0.5000], [0.0000, 0.5000, 0.0000], [0.5000, 0.0000, 0.0000], [0.0000, 0.0000, 0.0000], [0.5000, 0.5000, 0.5000]], "e_tot_ev_per_atom": -2.3197, "relative_energy_mev_per_atom": 456, "formation_energy_ev_per_fu": 6.6}

No. 3
{"formula": "YBeTl2Ge", "functional": "PBE-GGA", "state": "optimized geometry", "cell": [[5.2437, 0.0000, 0.0000], [0.0000, 5.2437, 0.0000], [0.0000, 0.0000, 4.3014]], "species": ["Y", "Be", "Tl", "Tl", "Ge"], "frac_coords": [[0.0000, 0.0000, 0.0000], [0.5000, 0.5000, 0.5000], [0.0000, 0.5000, 0.5000], [0.5000, 0.0000, 0.5000], [0.5000, 0.5000, 0.0000]], "e_tot_ev_per_atom": -3.7453, "formation_energy_ev_per_fu": 0.8}

No. 4
{"formula": "BeTlZnGe2", "functional": "PBE-GGA", "state": "optimized geometry", "cell": [[5.0194, 0.0000, 0.0000], [0.0000, 5.0194, 0.0000], [0.0000, 0.0000, 4.3185]], "species": ["Be", "Tl", "Zn", "Ge", "Ge"], "frac_coords": [[0.0000, 0.0000, 0.0000], [0.5000, 0.5000, 0.0000], [0.0000, 0.0000, 0.5000], [0.0000, 0.5000, 0.5000], [0.5000, 0.0000, 0.5000]], "e_tot_ev_per_atom": -2.7050, "formation_energy_ev_per_fu": 3.1}